Entry 1:
DFT (PBE-GGA) results for an optimized crystal structure of ZrPOs2W.

a = 4.317 Å, b = 4.317 Å, c = 4.704 Å
α = 90.00°, β = 90.00°, γ = 90.00°
Atoms (fractional coordinates):
Zr: 0.000 0.000 0.000
P: 0.000 0.000 0.500
Os: 0.000 0.500 0.500
Os: 0.500 0.000 0.500
W: 0.500 0.500 0.000

Density, g cm⁻³: 13.01
Crystal system: tetragonal
E, eV/atom: -9.21
DFT formation energy, eV/atom: 0.67

=====

Entry 2:
DFT (PBE-GGA) results for an optimized crystal structure of Ba4Ca2H.

a = 11.147 Å, b = 11.147 Å, c = 11.147 Å
α = 150.14°, β = 150.14°, γ = 42.74°
Atoms (fractional coordinates):
Ba: 0.000 0.500 0.500
Ba: 0.159 0.159 0.000
Ba: 0.500 0.000 0.500
Ba: 0.841 0.841 0.000
Ca: 0.354 0.354 0.000
Ca: 0.646 0.646 0.000
H: 0.000 0.000 0.000

Density, g cm⁻³: 3.06
Crystal system: tetragonal
E, eV/atom: -2.11

=====

Entry 3:
DFT (PBE-GGA) results for an optimized crystal structure of LiZn2CuH.

a = 4.016 Å, b = 4.016 Å, c = 3.507 Å
α = 90.00°, β = 90.00°, γ = 90.00°
Atoms (fractional coordinates):
Li: 0.000 0.000 0.000
Zn: 0.000 0.500 0.500
Zn: 0.500 0.000 0.500
Cu: 0.500 0.500 0.000
H: 0.000 0.000 0.500

Density, g cm⁻³: 5.94
Crystal system: tetragonal
E, eV/atom: -2.37